Density functional theory data (PBE-GGA) for Si3SbS after structural relaxation.

V: 28.510 Å³ per atom
DOS(E_F): 4.76 states/eV per cell
SG: Pm-3m
formation energy from raw total energies: 1514 meV per atom

Structure (POSCAR):
```
Si3SbS
1.0
5.224 0.000 0.000
0.000 5.224 0.000
0.000 0.000 5.224
S Si Sb
1 3 1
Direct
0.500 0.500 0.500
0.500 0.000 0.000
0.000 0.500 0.000
0.000 0.000 0.500
0.000 0.000 0.000
```